DFT (PBE) results for an optimized crystal structure of Na2TbPaO6.

Cell lengths 5.8753, 6.0140, 8.3818 Å; angles 90.00, 90.17, 90.00 degrees
Closest atoms and distances in Å follow each position.
Sites, in units of the cell vectors:
O1 0.1852 0.2068 0.4434  1 Pa 2.13, 1 Tb 2.28
O2 0.7043 0.3093 0.5534  1 Pa 2.13, 1 Tb 2.26
O3 0.3944 0.9529 0.7593  1 Pa 2.13, 1 Tb 2.28
O4 0.8944 0.5471 0.2593  1 Pa 2.13, 1 Tb 2.28
O5 0.7957 0.8093 0.9466  1 Pa 2.13, 1 Tb 2.26
O6 0.8148 0.7932 0.5566  1 Pa 2.13, 1 Tb 2.28
O7 0.1056 0.4529 0.7407  1 Pa 2.13, 1 Tb 2.28
O8 0.2043 0.1907 0.0534  1 Pa 2.13, 1 Tb 2.26
O9 0.6852 0.2932 0.9434  1 Pa 2.13, 1 Tb 2.28
O10 0.2957 0.6907 0.4466  1 Pa 2.13, 1 Tb 2.26
O11 0.6056 0.0471 0.2407  1 Pa 2.13, 1 Tb 2.28
O12 0.3148 0.7068 0.0566  1 Pa 2.13, 1 Tb 2.28
Pa1 0.5000 0.0000 0.0000  6 O 2.13
Pa2 0.0000 0.5000 0.5000  6 O 2.13
Tb1 0.5000 0.0000 0.5000  6 O 2.26-2.28
Tb2 0.0000 0.5000 0.0000  6 O 2.26-2.28
Na1 0.4931 0.4615 0.2508  4 O 2.41-2.58
Na2 0.9931 0.0385 0.7508  4 O 2.41-2.58
Na3 0.0069 0.9615 0.2492  4 O 2.41-2.58
Na4 0.5069 0.5385 0.7492  4 O 2.41-2.58

The formation energy from raw total energies comes out at -240.9 kJ per mole of atoms. The calculation puts the total energy at -7.15 eV per atom. The calculation puts the total moment at 4.15 μB/cell.

---

DFT (PBE) results for an optimized crystal structure of TbHo2Al3.

Cell lengths 3.5791, 3.5791, 10.8604 Å; angles 90.00, 90.00, 90.00 degrees
Closest atoms and distances in Å follow each position.
Sites, in units of the cell vectors:
Al1 0.0000 0.0000 0.3302  4 Ho 3.10, 4 Tb 3.13
Al2 0.0000 0.0000 0.0000  8 Ho 3.10
Al3 0.0000 0.0000 0.6698  4 Ho 3.10, 4 Tb 3.13
Ho1 0.5000 0.5000 0.8347  8 Al 3.10
Ho2 0.5000 0.5000 0.1653  8 Al 3.10
Tb1 0.5000 0.5000 0.5000  8 Al 3.13

The calculation puts the total energy at -4.57 eV per atom. The calculation puts the total moment at 0.00 μB/cell.

---

> Number 2 is which compound?

TbHo2Al3

---

> Among the records above, which one has the highest total moment?

Na2TbPaO6

---

> Which of these has the lowest total moment?

TbHo2Al3